(1)
# PrHoBi

A geometry-optimized PrHoBi structure (PBE, Alexandria).

```
3
Lattice="-3.585 -0.774 1.862 2.557 -1.124 4.457 -1.564 4.928 -0.963" Properties=species:S:1:pos:R:3 pbc="T T T"
Pr -2.684 2.373 2.138
Bi -0.304 -0.066 0.158
Ho 0.395 0.724 3.059
```

Values from the calculation:
M_tot: 0.00 μB/cell
Theoretical density: 8675 kg/m³
V: 32.8 A^3/atom
Energy relative to the elements: -87 kJ/mol of formula units



(2)
# Ho2MgNi2

A geometry-optimized Ho2MgNi2 structure (PBE, Alexandria).

```
10
Lattice="-0.072 1.023 -3.592 6.998 -1.978 -0.704 -2.095 -6.743 -1.879" Properties=species:S:1:pos:R:3 pbc="T T T"
Ni 0.056 -2.793 -0.797
Ni 0.809 -6.673 -1.918
Ni 4.094 -2.047 -0.665
Ni 4.847 -5.927 -1.786
Mg -2.095 -6.743 -1.879
Mg 2.452 -4.360 -1.292
Ho -0.239 -4.362 -3.180
Ho 1.897 -1.298 -2.350
Ho 2.935 -6.399 -3.824
Ho 5.070 -3.335 -2.994
```

Values from the calculation:
M_tot: 0.00 μB/cell
Theoretical density: 7854 kg/m³
V: 19.9 A^3/atom
Energy relative to the elements: -190 kJ/mol of formula units



(3)
# K2Li3Cl5

A geometry-optimized K2Li3Cl5 structure (PBE, Alexandria).

```
10
Lattice="3.950 0.000 0.876 1.492 6.561 2.616 0.052 -0.269 9.105" Properties=species:S:1:pos:R:3 pbc="T T T"
K 1.448 0.739 2.812
K 4.045 5.552 9.785
Li 2.747 3.146 6.299
Li 1.276 4.406 3.588
Li 4.217 1.885 9.009
Cl 0.000 0.000 0.000
Cl 0.766 1.367 5.884
Cl 4.727 4.925 6.713
Cl 3.316 3.197 3.733
Cl 2.177 3.094 8.864
```

Values from the calculation:
M_tot: 0.00 μB/cell
Theoretical density: 1927 kg/m³
Formation energy without anion corrections: -1.86 eV/atom
V: 23.8 A^3/atom



(4)
# In2SnS

A geometry-optimized In2SnS structure (PBE, Alexandria).

```
4
Lattice="0.000 3.671 3.671 3.671 0.000 3.671 3.671 3.671 0.000" Properties=species:S:1:pos:R:3 pbc="T T T"
S 0.000 0.000 0.000
Sn 3.671 3.671 3.671
In 1.836 1.836 1.836
In 5.507 5.507 5.507
```

Values from the calculation:
M_tot: 0.00 μB/cell
Theoretical density: 6384 kg/m³
Formation energy without anion corrections: 0.10 eV/atom
Relative energy among the computed polymorphs: 283 meV/atom
V: 24.7 A^3/atom



(5)
# Pu5Ge3Rh

A geometry-optimized Pu5Ge3Rh structure (PBE, Alexandria).

```
18
Lattice="-0.530 5.560 1.924 -8.506 0.125 -2.704 2.014 -2.671 8.276" Properties=species:S:1:pos:R:3 pbc="T T T"
Pu -1.493 -1.739 4.616
Pu -5.265 1.973 1.918
Pu -5.000 -0.807 0.956
Pu -1.758 1.041 5.578
Pu -6.622 4.262 -0.536
Pu -2.140 3.487 2.938
Pu 1.076 2.216 7.498
Pu -2.415 1.424 -0.245
Pu -4.883 -0.473 4.558
Pu 0.408 0.673 2.702
Ge -3.725 4.219 0.385
Ge -4.350 2.620 4.835
Ge 0.390 3.125 4.681
Ge -5.311 1.466 -1.165
Ge -2.673 0.394 2.661
Ge 1.093 -0.236 5.519
Rh 0.000 0.000 0.000
Rh -0.265 2.780 0.962
```

Values from the calculation:
M_tot: 52.93 μB/cell
Theoretical density: 12552 kg/m³
V: 22.6 A^3/atom
Energy relative to the elements: -347 kJ/mol of formula units



(6)
# RbNaVBr2

A geometry-optimized RbNaVBr2 structure (PBE, Alexandria).

```
5
Lattice="-1.610 4.858 -1.623 -5.529 -1.858 -0.079 -0.583 1.516 5.118" Properties=species:S:1:pos:R:3 pbc="T T T"
Na -2.764 -0.929 -0.040
Br -0.292 0.758 2.559
Br -0.805 2.429 -0.811
Rb -3.861 2.258 1.708
V 0.000 0.000 0.000
```

Values from the calculation:
M_tot: 3.09 μB/cell
Theoretical density: 3152 kg/m³
Formation energy without anion corrections: -0.39 eV/atom
V: 33.6 A^3/atom



(7)
# DySCl

A geometry-optimized DySCl structure (PBE, Alexandria).

```
3
Lattice="-3.035 1.973 2.921 -0.251 -1.440 4.415 1.523 2.745 3.432" Properties=species:S:1:pos:R:3 pbc="T T T"
S 0.000 0.000 0.000
Cl -0.882 1.639 5.384
Dy -0.441 0.819 2.692
```

Values from the calculation:
M_tot: 0.00 μB/cell
Theoretical density: 5369 kg/m³
Formation energy without anion corrections: -2.02 eV/atom
V: 23.7 A^3/atom



(8)
# SrRuBr

A geometry-optimized SrRuBr structure (PBE, Alexandria).

```
3
Lattice="-1.069 2.985 -5.763 -1.467 -0.417 -6.399 -3.451 0.437 -0.186" Properties=species:S:1:pos:R:3 pbc="T T T"
Ru -3.138 1.166 -4.286
Br -2.545 2.549 -12.052
Sr -2.841 1.858 -8.171
```

Values from the calculation:
M_tot: 1.87 μB/cell
Theoretical density: 6027 kg/m³
Formation energy without anion corrections: 0.24 eV/atom
Relative energy among the computed polymorphs: 255 meV/atom
V: 24.7 A^3/atom



(9)
# ZnNi8Ge2

A geometry-optimized ZnNi8Ge2 structure (PBE, Alexandria).

```
11
Lattice="3.658 0.000 0.000 0.000 5.757 0.167 -1.829 -2.274 6.037" Properties=species:S:1:pos:R:3 pbc="T T T"
Zn 1.829 0.000 0.000
Ni 0.000 1.227 5.013
Ni 1.829 4.492 2.275
Ni 1.829 2.918 4.360
Ni 1.829 -0.541 5.630
Ni 0.000 0.565 1.844
Ni 0.000 -1.009 3.929
Ni 1.829 2.256 1.191
Ni 0.000 4.024 0.574
Ge 1.829 0.606 3.515
Ge 0.000 2.876 2.690
```

Values from the calculation:
M_tot: 0.00 μB/cell
Theoretical density: 8788 kg/m³
Relative energy among the computed polymorphs: 8 meV/atom
V: 11.7 A^3/atom
Energy relative to the elements: -201 kJ/mol of formula units



(10)
# Hf2HIrRu

A geometry-optimized Hf2HIrRu structure (PBE, Alexandria).

```
5
Lattice="-2.592 -0.097 -3.605 3.219 -2.064 -2.259 -1.336 -3.230 1.048" Properties=species:S:1:pos:R:3 pbc="T T T"
Ru -0.355 -2.696 -2.408
Ir -0.668 -1.615 0.524
Hf 1.609 -1.032 -1.129
Hf -1.296 -0.049 -1.802
H 0.000 0.000 0.000
```

Values from the calculation:
M_tot: 0.00 μB/cell
Theoretical density: 15028 kg/m³
Relative energy among the computed polymorphs: 40 meV/atom
V: 14.4 A^3/atom



(11)
# HfSc2Au

A geometry-optimized HfSc2Au structure (PBE, Alexandria).

```
4
Lattice="3.327 0.000 0.000 1.664 2.881 0.000 1.664 0.960 9.278" Properties=species:S:1:pos:R:3 pbc="T T T"
Hf 3.327 1.921 4.626
Sc 1.664 0.960 7.118
Sc 1.664 0.960 2.154
Au 3.327 1.921 0.019
```

Values from the calculation:
M_tot: 0.00 μB/cell
Theoretical density: 8688 kg/m³
Relative energy among the computed polymorphs: 147 meV/atom
V: 22.2 A^3/atom
Energy relative to the elements: -87 kJ/mol of formula units



(12)
# HfSnHgAu2

A geometry-optimized HfSnHgAu2 structure (PBE, Alexandria).

```
5
Lattice="5.190 0.000 0.000 0.000 5.521 0.000 0.000 0.000 5.190" Properties=species:S:1:pos:R:3 pbc="T T T"
Hf 0.000 0.000 0.000
Au 0.000 0.000 2.595
Au 2.595 0.000 0.000
Hg 0.000 2.761 0.000
Sn 2.595 2.761 2.595
```

Values from the calculation:
M_tot: 0.00 μB/cell
Theoretical density: 9957 kg/m³
V: 29.7 A^3/atom
Energy relative to the elements: 270 kJ/mol of formula units